The following is a PBE calculation of HfZr4Bi after structural relaxation, from the Alexandria database.

a b c (Å): 4.8974 4.8974 6.7885
angles (deg): 90.00 90.00 90.00
Last column: nearest neighbours and their distance in Å.
Atoms (fractional coordinates):
Hf1 0.0000 0.0000 0.0000  8 Zr 2.90
Zr1 0.0000 0.5000 0.2279  2 Hf 2.90, 2 Bi 3.07, 1 Zr 3.09
Zr2 0.0000 0.5000 0.7721  2 Hf 2.90, 2 Bi 3.07, 1 Zr 3.09
Zr3 0.5000 0.0000 0.2279  2 Hf 2.90, 2 Bi 3.07, 1 Zr 3.09
Zr4 0.5000 0.0000 0.7721  2 Hf 2.90, 2 Bi 3.07, 1 Zr 3.09
Bi1 0.5000 0.5000 0.5000  8 Zr 3.07

The calculation puts the energy of formation at 2.4 eV per formula unit. The volume comes out at 27.14 Å³ per atom. As for the total DFT energy (no corrections): -7.608 eV/atom.

The following is a PBE calculation of AcCd2Ge2Pt after structural relaxation, from the Alexandria database.

a b c (Å): 6.8158 6.8158 6.8158
angles (deg): 134.29 134.29 66.64
Last column: nearest neighbours and their distance in Å.
Atoms (fractional coordinates):
Ac1 0.0000 0.0000 0.0000  2 Ge 3.32
Cd1 0.2500 0.7500 0.5000  4 Ge 2.69
Cd2 0.7500 0.2500 0.5000  4 Ge 2.69
Ge1 0.2916 0.2916 0.0000  1 Pt 2.37
Ge2 0.7084 0.7084 0.0000  1 Pt 2.37
Pt1 0.5000 0.5000 0.0000  2 Ge 2.37

The calculation puts the energy of formation at -0.8 eV per formula unit. The volume comes out at 26.61 Å³ per atom. As for the total DFT energy (no corrections): -3.673 eV/atom.

The following is a PBE calculation of CdFeTe2 after structural relaxation, from the Alexandria database.

a b c (Å): 5.1715 5.1715 4.3361
angles (deg): 104.73 104.73 104.80
Last column: nearest neighbours and their distance in Å.
Atoms (fractional coordinates):
Cd1 0.0000 0.0000 0.0000  4 Te 2.92, 2 Fe 3.16
Fe1 0.5000 0.5000 0.0000  4 Te 2.92, 2 Cd 3.16
Te1 0.0000 0.5000 0.5000  2 Cd 2.92, 2 Fe 2.92, 2 Te 3.16
Te2 0.5000 0.0000 0.5000  2 Cd 2.92, 2 Fe 2.92, 2 Te 3.16

The volume comes out at 25.48 Å³ per atom. As for the total DFT energy (no corrections): -3.565 eV/atom.

The following is a PBE calculation of ReAsRu2 after structural relaxation, from the Alexandria database.

a b c (Å): 2.8426 3.7870 5.4130
angles (deg): 90.00 90.00 90.00
Last column: nearest neighbours and their distance in Å.
Atoms (fractional coordinates):
Re1 0.0000 0.0000 0.0000  2 As 2.71, 8 Ru 2.71, 2 Re 2.84
As1 0.0000 0.0000 0.5000  2 Re 2.71, 8 Ru 2.74, 2 As 2.84
Ru1 0.5000 0.5000 0.2445  4 Ru 2.65-2.84, 4 Re 2.71, 4 As 2.74
Ru2 0.5000 0.5000 0.7555  4 Ru 2.65-2.84, 4 Re 2.71, 4 As 2.74

The calculation puts the energy of formation at 0.7 eV per formula unit. The volume comes out at 14.57 Å³ per atom. As for the total DFT energy (no corrections): -8.736 eV/atom.

The following is a PBE calculation of Co2PI after structural relaxation, from the Alexandria database.

a b c (Å): 4.3674 4.3674 4.3674
angles (deg): 60.00 60.00 60.00
Last column: nearest neighbours and their distance in Å.
Atoms (fractional coordinates):
Co1 0.2500 0.2500 0.2500  4 I 2.67, 4 P 2.67
Co2 0.7500 0.7500 0.7500  4 I 2.67, 4 P 2.67
P1 0.0000 0.0000 0.0000  8 Co 2.67
I1 0.5000 0.5000 0.5000  8 Co 2.67

For the excess energy over the best structure of this formula in the dataset, the calculation gives 554 meV per atom. The volume comes out at 14.73 Å³ per atom. As for the total DFT energy (no corrections): -4.595 eV/atom.

The following is a PBE calculation of GdTmN after structural relaxation, from the Alexandria database.

a b c (Å): 3.4868 3.4868 5.9548
angles (deg): 90.00 90.00 120.00
Last column: nearest neighbours and their distance in Å.
Atoms (fractional coordinates):
Gd1 0.0000 0.0000 0.0000  3 N 2.49
Tm1 0.3333 0.6667 0.4517  3 N 2.36
N1 0.6667 0.3333 0.2459  3 Tm 2.36, 3 Gd 2.49

For the excess energy over the best structure of this formula in the dataset, the calculation gives 0 meV per atom. The volume comes out at 20.90 Å³ per atom. As for the total DFT energy (no corrections): -10.012 eV/atom.

| no. | DOS(E_F) (states/eV per cell) | size of the total moment (μB per cell) |
| --- | --- | --- |
| 1 | 6.8 | 0.0 |
| 2 | 2.8 | 0.0 |
| 3 | 4.2 | 3.1 |
| 4 | 4.0 | 0.0 |
| 5 | 6.0 | 1.0 |
| 6 | 2.0 | 8.1 |